Entry from the Open Quantum Materials Database: a relaxed BaRe2H8O12 crystal (PBE-GGA).

Total DFT energy (no corrections) ... -588.76 eV per cell
M_tot ... 0.0 μB/cell

a b c (Å): 7.210 12.091 13.805
angles (deg): 90.00 120.85 90.00
Element x y z (fractional)
Ba 0.177 0.249 0.428
Ba 0.177 0.251 0.928
Ba 0.823 0.749 0.072
Ba 0.823 0.751 0.572
Re 0.168 0.611 0.911
Re 0.168 0.889 0.411
Re 0.292 0.572 0.539
Re 0.292 0.928 0.039
Re 0.708 0.072 0.961
Re 0.708 0.428 0.461
Re 0.832 0.111 0.589
Re 0.832 0.389 0.089
H 0.111 0.135 0.199
H 0.111 0.365 0.699
H 0.201 0.606 0.287
H 0.201 0.894 0.787
H 0.331 0.692 0.259
H 0.331 0.808 0.759
H 0.348 0.096 0.286
H 0.348 0.404 0.786
H 0.358 0.540 0.199
H 0.358 0.960 0.699
H 0.361 0.234 0.204
H 0.361 0.266 0.704
H 0.384 0.015 0.602
H 0.384 0.485 0.102
H 0.469 0.154 0.697
H 0.469 0.346 0.197
H 0.531 0.654 0.803
H 0.531 0.846 0.303
H 0.616 0.515 0.898
H 0.616 0.985 0.398
H 0.639 0.734 0.296
H 0.639 0.766 0.796
H 0.642 0.040 0.301
H 0.642 0.460 0.801
H 0.652 0.596 0.214
H 0.652 0.904 0.714
H 0.669 0.192 0.241
H 0.669 0.308 0.741
H 0.799 0.106 0.213
H 0.799 0.394 0.713
H 0.889 0.635 0.301
H 0.889 0.865 0.801
O 0.023 0.145 0.552
O 0.023 0.355 0.052
O 0.055 0.625 0.765
O 0.055 0.875 0.265
O 0.146 0.600 0.393
O 0.146 0.900 0.893
O 0.207 0.662 0.608
O 0.207 0.838 0.108
O 0.216 0.632 0.223
O 0.216 0.868 0.723
O 0.234 0.064 0.060
O 0.234 0.436 0.560
O 0.249 0.161 0.264
O 0.249 0.339 0.764
O 0.255 0.026 0.453
O 0.255 0.474 0.953
O 0.391 0.699 0.984
O 0.391 0.801 0.484
O 0.429 0.086 0.904
O 0.429 0.414 0.404
O 0.448 0.233 0.673
O 0.448 0.267 0.173
O 0.462 0.003 0.685
O 0.462 0.497 0.185
O 0.538 0.503 0.815
O 0.538 0.997 0.315
O 0.552 0.733 0.827
O 0.552 0.767 0.327
O 0.571 0.586 0.596
O 0.571 0.914 0.096
O 0.609 0.199 0.516
O 0.609 0.301 0.016
O 0.745 0.526 0.047
O 0.745 0.974 0.547
O 0.751 0.661 0.236
O 0.751 0.839 0.736
O 0.766 0.564 0.440
O 0.766 0.936 0.940
O 0.784 0.132 0.277
O 0.784 0.368 0.777
O 0.793 0.162 0.892
O 0.793 0.338 0.392
O 0.854 0.100 0.107
O 0.854 0.400 0.607
O 0.945 0.125 0.735
O 0.945 0.375 0.235
O 0.977 0.645 0.948
O 0.977 0.855 0.448


Entry from the Open Quantum Materials Database: a relaxed Dy2Ho2CI3Br2 crystal (PBE-GGA).

M_tot ... 0.3 μB/cell
Excess energy over the best structure of this formula in the dataset ... 10 meV per atom

a b c (Å): 9.313 9.313 8.513
angles (deg): 102.44 102.44 24.23
Element x y z (fractional)
Dy 0.135 0.135 0.063
Dy 0.865 0.865 0.937
Ho 0.499 0.499 0.189
Ho 0.501 0.501 0.811
C 0.000 0.000 0.000
I 0.000 0.000 0.500
I 0.331 0.331 0.657
I 0.669 0.669 0.343
Br 0.333 0.333 0.164
Br 0.667 0.667 0.836


Entry from the Open Quantum Materials Database: a relaxed Rb3Cu2Bi5S10 crystal (PBE-GGA).

Total DFT energy (no corrections) ... -167.43 eV per cell

a b c (Å): 14.738 17.996 4.075
angles (deg): 90.00 90.00 90.00
Element x y z (fractional)
Rb 0.000 0.000 0.000
Rb 0.024 0.251 0.500
Rb 0.476 0.751 0.000
Rb 0.500 0.500 0.500
Rb 0.524 0.249 0.000
Rb 0.976 0.749 0.500
Cu 0.220 0.745 0.000
Cu 0.280 0.245 0.500
Cu 0.720 0.755 0.500
Cu 0.780 0.255 0.000
Bi 0.000 0.500 0.000
Bi 0.216 0.594 0.500
Bi 0.237 0.894 0.500
Bi 0.263 0.394 0.000
Bi 0.284 0.094 0.000
Bi 0.500 0.000 0.500
Bi 0.716 0.906 0.000
Bi 0.737 0.606 0.000
Bi 0.763 0.106 0.500
Bi 0.784 0.406 0.500
S 0.095 0.637 0.000
S 0.120 0.445 0.500
S 0.127 0.850 0.000
S 0.170 0.032 0.500
S 0.203 0.228 0.000
S 0.297 0.728 0.500
S 0.330 0.532 0.000
S 0.373 0.350 0.500
S 0.380 0.945 0.000
S 0.405 0.137 0.500
S 0.595 0.863 0.500
S 0.620 0.055 0.000
S 0.627 0.650 0.500
S 0.670 0.468 0.000
S 0.703 0.272 0.500
S 0.797 0.772 0.000
S 0.830 0.968 0.500
S 0.873 0.150 0.000
S 0.880 0.555 0.500
S 0.905 0.363 0.000


Entry from the Open Quantum Materials Database: a relaxed Cu5Ag2 crystal (PBE-GGA).

Excess energy over the best structure of this formula in the dataset ... 0 meV per atom
Formation energy ... 1.2 kcal/mol of atoms

a b c (Å): 2.758 2.758 25.002
angles (deg): 90.00 90.00 90.00
Element x y z (fractional)
Cu 0.000 0.000 0.000
Cu 0.000 0.000 0.128
Cu 0.000 0.000 0.436
Cu 0.000 0.000 0.564
Cu 0.000 0.000 0.872
Cu 0.500 0.500 0.064
Cu 0.500 0.500 0.372
Cu 0.500 0.500 0.500
Cu 0.500 0.500 0.628
Cu 0.500 0.500 0.936
Ag 0.000 0.000 0.295
Ag 0.000 0.000 0.705
Ag 0.500 0.500 0.205
Ag 0.500 0.500 0.795


Entry from the Open Quantum Materials Database: a relaxed ErInPtC crystal (PBE-GGA).

M_tot ... 0.0 μB/cell
Excess energy over the best structure of this formula in the dataset ... 101 meV per atom

a b c (Å): 4.554 4.554 7.784
angles (deg): 90.00 90.00 120.00
Element x y z (fractional)
Er 0.333 0.667 0.316
Er 0.667 0.333 0.684
In 0.000 0.000 0.000
In 0.000 0.000 0.500
Pt 0.333 0.667 0.889
Pt 0.667 0.333 0.111
C 0.333 0.667 0.628
C 0.667 0.333 0.372


Entry from the Open Quantum Materials Database: a relaxed RbTbAg3Te4 crystal (PBE-GGA).

M_tot ... 0.0 μB/cell
Excess energy over the best structure of this formula in the dataset ... 83 meV per atom

a b c (Å): 7.063 7.063 7.063
angles (deg): 90.00 90.00 90.00
Element x y z (fractional)
Rb 0.000 0.000 0.000
Tb 0.500 0.500 0.500
Ag 0.000 0.500 0.500
Ag 0.500 0.000 0.500
Ag 0.500 0.500 0.000
Te 0.268 0.268 0.268
Te 0.268 0.732 0.732
Te 0.732 0.268 0.732
Te 0.732 0.732 0.268


Entry from the Open Quantum Materials Database: a relaxed YTm2Mg3Cd2Ag crystal (PBE-GGA).

Total DFT energy (no corrections) ... -26.99 eV per cell
M_tot ... 0.0 μB/cell

a b c (Å): 4.178 7.755 7.755
angles (deg): 120.24 90.00 90.00
Element x y z (fractional)
Y 0.000 0.000 0.000
Tm 0.000 0.186 0.592
Tm 0.000 0.592 0.186
Mg 0.500 0.347 0.347
Mg 0.500 0.592 0.836
Mg 0.500 0.836 0.592
Cd 0.500 0.261 0.924
Cd 0.500 0.924 0.261
Ag 0.000 0.589 0.589


Entry from the Open Quantum Materials Database: a relaxed HoTm2Sc3P2Os crystal (PBE-GGA).

Total DFT energy (no corrections) ... -62.29 eV per cell
M_tot ... 0.1 μB/cell

a b c (Å): 4.048 7.366 7.366
angles (deg): 120.10 90.00 90.00
Element x y z (fractional)
Ho 0.000 0.000 0.000
Tm 0.000 0.411 0.823
Tm 0.000 0.823 0.411
Sc 0.500 0.170 0.412
Sc 0.500 0.412 0.170
Sc 0.500 0.659 0.659
P 0.500 0.080 0.743
P 0.500 0.743 0.080
Os 0.000 0.418 0.418


Entry from the Open Quantum Materials Database: a relaxed TaFePd2 crystal (PBE-GGA).

M_tot ... 6.3 μB/cell
Formation energy ... -2.3 kcal/mol of atoms

a b c (Å): 6.216 6.216 6.216
angles (deg): 90.00 90.00 90.00
Element x y z (fractional)
Ta 0.000 0.000 0.000
Ta 0.000 0.500 0.500
Ta 0.500 0.000 0.500
Ta 0.500 0.500 0.000
Fe 0.250 0.250 0.250
Fe 0.250 0.750 0.750
Fe 0.750 0.250 0.750
Fe 0.750 0.750 0.250
Pd 0.000 0.000 0.500
Pd 0.000 0.500 0.000
Pd 0.250 0.250 0.750
Pd 0.250 0.750 0.250
Pd 0.500 0.000 0.000
Pd 0.500 0.500 0.500
Pd 0.750 0.250 0.250
Pd 0.750 0.750 0.750


Entry from the Open Quantum Materials Database: a relaxed NaNdCdS3 crystal (PBE-GGA).

M_tot ... 0.0 μB/cell
Excess energy over the best structure of this formula in the dataset ... 0 meV per atom

a b c (Å): 12.338 4.113 11.714
angles (deg): 90.00 90.00 90.00
Element x y z (fractional)
Na 0.125 0.250 0.013
Na 0.375 0.750 0.513
Na 0.625 0.250 0.487
Na 0.875 0.750 0.987
Nd 0.045 0.250 0.669
Nd 0.455 0.750 0.169
Nd 0.545 0.250 0.831
Nd 0.955 0.750 0.331
Cd 0.236 0.250 0.287
Cd 0.264 0.750 0.787
Cd 0.736 0.250 0.213
Cd 0.764 0.750 0.713
S 0.065 0.750 0.844
S 0.084 0.250 0.426
S 0.225 0.750 0.155
S 0.275 0.250 0.655
S 0.416 0.750 0.926
S 0.435 0.250 0.344
S 0.565 0.750 0.656
S 0.584 0.250 0.074
S 0.725 0.750 0.345
S 0.775 0.250 0.845
S 0.916 0.750 0.574
S 0.935 0.250 0.156


Entry from the Open Quantum Materials Database: a relaxed GdYZn2Sn2 crystal (PBE-GGA).

Total DFT energy (no corrections) ... -50.62 eV per cell
M_tot ... 0.0 μB/cell

a b c (Å): 4.515 4.515 15.899
angles (deg): 90.00 90.00 120.00
Element x y z (fractional)
Gd 0.000 0.000 0.250
Gd 0.000 0.000 0.750
Y 0.000 0.000 0.000
Y 0.000 0.000 0.500
Zn 0.333 0.667 0.159
Zn 0.333 0.667 0.341
Zn 0.667 0.333 0.659
Zn 0.667 0.333 0.841
Sn 0.333 0.667 0.614
Sn 0.333 0.667 0.886
Sn 0.667 0.333 0.114
Sn 0.667 0.333 0.386


Entry from the Open Quantum Materials Database: a relaxed ZrTlCuPd crystal (PBE-GGA).

M_tot ... 0.0 μB/cell
Excess energy over the best structure of this formula in the dataset ... 135 meV per atom

a b c (Å): 6.637 6.637 6.637
angles (deg): 90.00 90.00 90.00
Element x y z (fractional)
Zr 0.000 0.000 0.000
Zr 0.000 0.500 0.500
Zr 0.500 0.000 0.500
Zr 0.500 0.500 0.000
Tl 0.250 0.250 0.250
Tl 0.250 0.750 0.750
Tl 0.750 0.250 0.750
Tl 0.750 0.750 0.250
Cu 0.000 0.000 0.500
Cu 0.000 0.500 0.000
Cu 0.500 0.000 0.000
Cu 0.500 0.500 0.500
Pd 0.250 0.250 0.750
Pd 0.250 0.750 0.250
Pd 0.750 0.250 0.250
Pd 0.750 0.750 0.750